The following is a PBE calculation of UNiS3 after structural relaxation, from Alexandria.

Summary:
energy relative to the elements, uncorrected = -981 meV/atom
space group = No. 62

Unit cell a=7.0433 b=8.3846 c=5.9660 alpha=90.00 beta=90.00 gamma=90.00
Element x y z (fractional)
U: 0.1329 0.2500 0.0635
U: 0.3671 0.7500 0.5635
U: 0.6329 0.2500 0.4365
U: 0.8671 0.7500 0.9365
Ni: 0.0000 0.0000 0.5000
Ni: 0.0000 0.5000 0.5000
Ni: 0.5000 0.0000 0.0000
Ni: 0.5000 0.5000 0.0000
S: 0.0354 0.7500 0.3530
S: 0.1678 0.5523 0.8300
S: 0.1678 0.9477 0.8300
S: 0.3322 0.0523 0.3300
S: 0.3322 0.4477 0.3300
S: 0.4646 0.2500 0.8530
S: 0.5354 0.7500 0.1470
S: 0.6678 0.5523 0.6700
S: 0.6678 0.9477 0.6700
S: 0.8322 0.0523 0.1700
S: 0.8322 0.4477 0.1700
S: 0.9646 0.2500 0.6470